Compound: LaCuMo
Source: the Alexandria database
Functional: GGA-PBEsol
Structure: optimized geometry

Cell and atoms, written as extended XYZ:
```
3
Lattice="0.0000 3.2014 3.2014 3.2014 0.0000 3.2014 3.2014 3.2014 0.0000" Properties=species:S:1:pos:R:3 pbc="T T T"
La 0.0000 0.0000 0.0000
Cu 1.6007 1.6007 1.6007
Mo 4.8022 4.8022 4.8022
```

Summary:
raw total energy: -17.182 eV/cell
E above lowest polymorph: 718 meV per atom
N(E_F): 2.1 states/eV/f.u.

Compound: La2CuMo
Source: the Alexandria database
Functional: GGA-PBEsol
Structure: optimized geometry

Cell and atoms, written as extended XYZ:
```
4
Lattice="3.4831 0.0000 0.0000 0.0000 4.7612 0.0000 -1.1772 0.0000 5.3921" Properties=species:S:1:pos:R:3 pbc="T T T"
La 0.0000 0.0000 0.0000
La -0.0589 2.3806 2.9822
Cu 1.7432 0.0000 2.2910
Mo 2.2541 2.3806 0.5779
```

Summary:
raw total energy: -25.626 eV/cell
E above lowest polymorph: 0 meV per atom
N(E_F): 3.2 states/eV/f.u.